1.
The following is a DFT calculation (PBE) of an optimized crystal structure of ErPaB12.

```
ErPaB12
1.0
4.075 0.000 0.000
0.000 4.075 0.000
0.000 0.000 8.166
Er Pa B
1 1 12
Cartesian
0.000 0.000 4.083
0.000 0.000 0.000
0.805 2.037 2.043
0.805 2.037 6.124
2.037 2.037 3.275
2.037 2.037 7.361
2.037 0.805 2.043
2.037 0.805 6.124
2.037 2.037 0.805
2.037 2.037 4.891
2.037 3.270 2.043
2.037 3.270 6.124
3.270 2.037 2.043
3.270 2.037 6.124
```

Calculated values
symmetry = P4/mmm
calculated total energy = -99.30 eV/f.u.


2.
The following is a DFT calculation (PBE) of an optimized crystal structure of Er6BPb2.

```
Er6BPb2
1.0
-3.605 -4.049 -4.362
0.330 -5.228 4.580
-8.409 3.065 4.104
Er B Pb
12 2 4
Cartesian
-1.787 -4.457 5.612
-6.667 -5.443 2.216
-2.450 -6.940 0.164
-6.833 -2.809 -0.091
-2.614 -4.346 -2.109
-3.726 -3.877 1.129
-9.898 -1.755 -1.290
-5.017 -0.769 2.106
-9.234 0.728 4.159
-4.851 -3.403 4.414
-9.070 -1.866 6.431
-7.958 -2.335 3.194
-1.637 -4.638 0.109
-4.205 1.532 2.052
-9.746 -4.364 1.006
-8.110 0.274 0.897
-3.574 -6.486 3.425
-1.938 -1.848 3.316
```

Calculated values
symmetry = Fm-3m
distance to the lowest polymorph of the same formula = 0 meV per atom


3.
The following is a DFT calculation (PBE) of an optimized crystal structure of Er4BPb2.

```
Er4BPb2
1.0
-3.520 3.005 1.520
1.342 -0.765 4.619
3.992 7.301 2.616
Pb B Er
2 1 4
Cartesian
1.484 6.694 5.813
0.331 2.847 2.943
0.000 0.000 0.000
-0.524 4.251 5.992
2.339 5.290 2.764
0.671 -0.382 2.310
-1.760 1.502 0.760
```

Calculated values
symmetry = I4/mmm
calculated total energy = -35.22 eV/f.u.


4.
The following is a DFT calculation (PBE) of an optimized crystal structure of Er6BPb2.

```
Er6BPb2
1.0
-1.734 1.154 -4.463
5.447 -3.363 -2.986
-5.744 -5.104 3.626
Er B Pb
6 1 2
Cartesian
0.090 -2.648 -0.719
-5.047 -2.858 -1.499
-2.120 -4.665 -3.103
0.320 -0.156 -2.882
3.017 -4.455 -2.324
3.393 -2.053 -4.566
0.000 0.000 0.000
0.568 -3.164 -3.755
-2.599 -4.149 -0.067
```

Calculated values
symmetry = Immm
distance to the lowest polymorph of the same formula = 308 meV per atom


5.
The following is a DFT calculation (PBE) of an optimized crystal structure of Er2B2Rh5Pb.

```
Er2B2Rh5Pb
1.0
3.303 0.000 0.000
0.000 9.607 0.000
0.000 0.000 9.607
Er B Rh Pb
4 4 10 2
Cartesian
0.000 6.485 1.682
0.000 3.122 7.925
0.000 1.682 3.122
0.000 7.925 6.485
0.000 1.163 5.966
0.000 8.444 3.640
0.000 5.966 8.444
0.000 3.640 1.163
1.651 2.191 0.684
1.651 7.416 8.923
1.651 0.684 7.416
1.651 6.994 4.120
1.651 8.923 2.191
1.651 2.612 5.487
1.651 5.487 6.994
1.651 4.120 2.612
1.651 4.803 0.000
1.651 0.000 4.803
0.000 0.000 0.000
0.000 4.803 4.803
```

Calculated values
symmetry = P4/mbm
calculated total energy = -70.30 eV/f.u.


6.
The following is a DFT calculation (PBE) of an optimized crystal structure of Er2BPd6.

```
Er2BPd6
1.0
-1.059 2.768 -3.103
-3.208 -2.581 -1.208
-4.953 3.785 5.066
Er B Pd
2 1 6
Cartesian
-3.670 2.805 3.754
-1.283 0.980 1.312
-2.133 0.093 -2.155
-5.791 2.889 1.586
-3.428 1.083 -0.831
-0.529 1.384 -1.551
-3.006 3.276 0.981
-1.604 -1.290 -0.604
-4.080 0.602 1.929
```

Calculated values
symmetry = P4/mmm
calculated total energy = -54.31 eV/f.u.


7.
The following is a DFT calculation (PBE) of an optimized crystal structure of Er2BPd8.

```
Er2BPd8
1.0
4.695 0.000 0.000
0.000 5.769 -0.180
-2.348 -2.680 6.747
Er B Pd
2 1 8
Cartesian
2.348 0.127 4.160
0.000 2.963 2.406
2.348 0.000 0.000
0.000 1.615 5.060
2.348 4.388 1.414
2.348 3.011 4.082
0.000 1.392 -0.044
0.000 0.078 2.484
0.000 -1.298 5.152
2.348 1.475 1.507
0.000 4.377 -0.137
```

Calculated values
symmetry = Immm
calculated total energy = -63.95 eV/f.u.


8.
The following is a DFT calculation (PBE) of an optimized crystal structure of ErBPd.

```
ErBPd
1.0
-1.067 2.490 1.928
-2.650 0.985 -2.739
-2.992 -6.198 3.483
B Pd Er
2 2 2
Cartesian
-4.709 -0.029 0.298
-1.999 -2.694 2.374
-3.127 1.427 -0.706
-3.582 -4.150 3.378
-4.669 -1.703 2.484
-2.040 -1.019 0.188
```

Calculated values
symmetry = C2/m
calculated total energy = -18.31 eV/f.u.